Zr2MoBr at its PBEsol-relaxed geometry, computed with meta-GGA SCAN.

The structure in POSCAR format:
```
Zr2MoBr
1.0
3.527 0.000 0.000
0.000 5.251 0.000
-1.764 -2.626 4.187
Br Mo Zr
1 1 2
Direct
0.500 0.000 0.000 Br
0.000 0.500 0.000 Mo
0.748 0.748 0.496 Zr
0.252 0.252 0.504 Zr
```

## Properties
Density of states at the Fermi level   3.33 states/eV per cell
Calculated volume   19.39 Å³ per atom
Distance to the lowest polymorph of the same formula   491 meV/atom
Symmetry   Immm, No. 71

***

Nb2BI at its PBEsol-relaxed geometry, computed with meta-GGA SCAN.

The structure in POSCAR format:
```
Nb2BI
1.0
-1.314 3.853 1.889
-4.302 1.259 -0.229
-2.557 -0.066 3.688
Nb B I
2 1 1
Direct
0.750 0.750 0.750 Nb
0.250 0.250 0.250 Nb
0.000 0.000 0.000 B
0.500 0.500 0.500 I
```

## Properties
VASP energy   -26.8211 eV per atom
Density of states at the Fermi level   1.92 states/eV per cell
Calculated volume   15.98 Å³ per atom
Symmetry   Fm-3m, No. 225

***

BaCa4Se at its PBEsol-relaxed geometry, computed with meta-GGA SCAN.

The structure in POSCAR format:
```
BaCa4Se
1.0
6.986 0.000 0.000
3.493 6.050 0.000
3.493 2.017 5.704
Ba Ca Se
1 4 1
Direct
0.000 0.000 0.000 Ba
0.875 0.375 0.375 Ca
0.375 0.375 0.375 Ca
0.375 0.375 0.875 Ca
0.375 0.875 0.375 Ca
0.750 0.750 0.750 Se
```

## Properties
VASP energy   -16.2993 eV per atom
Density of states at the Fermi level   4.48 states/eV per cell
Calculated volume   40.18 Å³ per atom
Symmetry   F-43m, No. 216